## Pr5HN4 (PBE)

Data for a relaxed structure of Pr5HN4.

Summary:
Space group = No. 12
V = 178.14 Å³/f.u.
Calculated density = 7.10 Mg/m³
Fermi-level density of states = 2.83 states/eV/f.u.
VASP energy = -7.22 eV/atom

Geometry as CIF:
```
data_Pr5HN4
_cell_length_a 6.3973
_cell_length_b 6.3973
_cell_length_c 9.0964
_cell_angle_alpha 118.48
_cell_angle_beta 118.48
_cell_angle_gamma 33.49
_space_group_name_H-M_alt 'P 1'
_space_group_IT_number 1
loop_
_space_group_symop_operation_xyz
'x,y,z'
loop_
_atom_site_label
_atom_site_type_symbol
_atom_site_fract_x
_atom_site_fract_y
_atom_site_fract_z
_atom_site_occupancy
Pr1 Pr 0.0000 0.0000 0.0000 1
Pr2 Pr 0.2060 0.2060 0.8125 1
Pr3 Pr 0.3937 0.3937 0.6129 1
Pr4 Pr 0.6063 0.6063 0.3871 1
Pr5 Pr 0.7940 0.7940 0.1875 1
H1 H 0.0000 0.0000 0.5000 1
N1 N 0.1982 0.1982 0.3067 1
N2 N 0.3959 0.3959 0.0983 1
N3 N 0.6041 0.6041 0.9017 1
N4 N 0.8018 0.8018 0.6933 1
```